A relaxed Pa2Zn15Ni2 crystal, computed with PBE.

Cell lengths 6.728, 6.728, 6.728 Å; angles 83.13, 83.13, 83.13 degrees
Fractional coordinates of all 19 atoms:
Pa (0.666, 0.666, 0.666)
Pa (0.334, 0.334, 0.334)
Zn (0.352, 0.352, 0.843)
Zn (0.000, 0.500, 0.000)
Zn (0.648, 0.648, 0.157)
Zn (0.843, 0.352, 0.352)
Zn (0.286, 0.714, 0.000)
Zn (0.000, 0.286, 0.714)
Zn (0.714, 0.000, 0.286)
Zn (0.500, 0.000, 0.000)
Zn (0.286, 0.000, 0.714)
Zn (0.000, 0.714, 0.286)
Zn (0.352, 0.843, 0.352)
Zn (0.648, 0.157, 0.648)
Zn (0.000, 0.000, 0.500)
Zn (0.157, 0.648, 0.648)
Zn (0.714, 0.286, 0.000)
Ni (0.129, 0.129, 0.129)
Ni (0.871, 0.871, 0.871)

Values from the calculation:
V (Å³/cell): 298.5
Final energy (eV per atom): -2.75
SG: No. 166
DFT formation energy (meV/atom): -137